# 1
Below is an optimized crystal structure of BaTe2I, with properties calculated at the PBE level.

Summary:
The polymorph energy (0 for the lowest one) comes out at 889 meV per atom. For the magnetic moment, the calculation gives 0.6 μB per formula unit. The volume is 178.0 Å³ per cell. As for the density: 4.8 g cm⁻³. The raw formation energy comes out at 0.24 eV/atom. The value obtained for the total energy is -8.80 eV for the cell shown. The density of states at the Fermi level comes out at 5.20 states/eV/cell.

Cell lengths 11.146, 11.146, 11.146 Å; angles 22.51, 22.51, 22.51 degrees
Site moments in Bohr magnetons follow the coordinates.
Sites, in units of the cell vectors:
Te  0.100  0.100  0.100  0.03
Te  0.900  0.900  0.900  0.03
I  0.500  0.500  0.500  0.04
Ba  0.000  0.000  0.000  0.11



# 2
Below is an optimized crystal structure of CaNd2Ni, with properties calculated at the PBE level.

Summary:
The polymorph energy (0 for the lowest one) comes out at 0 meV per atom. For the magnetic moment, the calculation gives 0.0 μB per formula unit. The volume is 467.6 Å³ per cell. As for the density: 5.5 g cm⁻³. The value obtained for the total energy is -71.29 eV for the cell shown. The density of states at the Fermi level comes out at 16.38 states/eV/cell.

Cell lengths 6.432, 7.227, 10.059 Å; angles 90.00, 90.00, 90.00 degrees
Sites, in units of the cell vectors:
Nd  0.174  0.673  0.067
Nd  0.326  0.173  0.067
Nd  0.674  0.827  0.567
Nd  0.174  0.673  0.433
Nd  0.826  0.327  0.933
Nd  0.674  0.827  0.933
Nd  0.326  0.173  0.433
Nd  0.826  0.327  0.567
Ca  0.354  0.464  0.750
Ca  0.146  0.964  0.750
Ca  0.854  0.036  0.250
Ca  0.646  0.536  0.250
Ni  0.592  0.110  0.750
Ni  0.092  0.390  0.250
Ni  0.408  0.890  0.250
Ni  0.908  0.610  0.750



# 3
Below is an optimized crystal structure of RbSrLaF6, with properties calculated at the PBE level.

Summary:
For the magnetic moment, the calculation gives 0.1 μB per formula unit. The volume is 491.6 Å³ per cell. As for the density: 2.9 g cm⁻³. The raw formation energy comes out at -3.67 eV/atom. The value obtained for the total energy is -103.71 eV for the cell shown. The density of states at the Fermi level comes out at 0.00 states/eV/cell.

Cell lengths 8.934, 8.591, 8.912 Å; angles 118.81, 120.08, 90.00 degrees
Sites, in units of the cell vectors:
F  0.577  0.327  0.154
F  0.546  0.313  0.725
F  0.189  0.939  0.377
F  0.179  0.912  0.725
F  0.454  0.088  0.275
F  0.811  0.061  0.623
F  0.423  0.673  0.846
F  0.179  0.313  0.725
F  0.821  0.687  0.275
F  0.546  0.912  0.725
F  0.454  0.687  0.275
F  0.821  0.088  0.275
La  0.500  0.000  0.500
La  0.000  0.000  0.500
Sr  0.500  0.000  0.000
Sr  0.500  0.500  0.000
Rb  0.782  0.532  0.563
Rb  0.218  0.468  0.437